Record 1
SmDy3Ni8: relaxed, PBE.

Values from the calculation:
crystal system: trigonal

Cell and atoms, written as POSCAR:
```
SmDy3Ni8
1.0
2.538 1.465 8.316
-2.538 1.465 8.316
0.000 -2.931 8.316
Sm Dy Ni
1 3 8
direct
0.000 0.000 0.000
0.376 0.376 0.376
0.500 0.500 0.500
0.875 0.875 0.875
0.188 0.188 0.188
0.437 0.437 0.937
0.437 0.937 0.437
0.440 0.937 0.937
0.688 0.688 0.688
0.937 0.437 0.437
0.937 0.440 0.937
0.937 0.937 0.440
```

=====

Record 2
Sr3Mg3Tl2: relaxed, PBE.

Values from the calculation:
crystal system: orthorhombic

Cell and atoms, written as POSCAR:
```
Sr3Mg3Tl2
1.0
9.032 0.000 0.000
0.000 18.018 0.000
0.000 0.000 6.581
Sr Mg Tl
12 12 8
direct
0.033 0.108 0.119
0.033 0.392 0.119
0.164 0.250 0.639
0.336 0.750 0.139
0.467 0.608 0.619
0.467 0.892 0.619
0.533 0.108 0.381
0.533 0.392 0.381
0.664 0.250 0.861
0.836 0.750 0.361
0.967 0.608 0.881
0.967 0.892 0.881
0.175 0.033 0.604
0.175 0.467 0.604
0.177 0.750 0.638
0.323 0.250 0.138
0.325 0.533 0.104
0.325 0.967 0.104
0.675 0.033 0.896
0.675 0.467 0.896
0.677 0.750 0.862
0.823 0.250 0.362
0.825 0.533 0.396
0.825 0.967 0.396
0.117 0.611 0.379
0.117 0.889 0.379
0.383 0.111 0.879
0.383 0.389 0.879
0.617 0.611 0.121
0.617 0.889 0.121
0.883 0.111 0.621
0.883 0.389 0.621
```

=====

What are the D(E_F) values for these records? In order: 0.5277, 0.7995 states/eV/atom.
What are the ΔH_f (0 K) values for these records? In order: -0.43, -0.21 eV per atom.
What are the calculated volume values for these records? In order: 15.46, 33.47 A^3/atom.